Entry from the Alexandria database: a geometry-optimized CoIrOs2 structure (PBE-GGA).

Total magnetization in μB/f.u.: 0.92
Distance to the lowest polymorph of the same formula in kJ per mole of atoms: 5.6
Energy in eV per atom: -9.4578
Space group: P4/mmm
Energy of formation in eV per atom: 0.1488

abc: 2.6910 2.6910 7.4556
angles: 90.00 90.00 90.00
Element x y z (fractional)
Co1 0.0000 0.0000 0.0000
Ir1 0.0000 0.0000 0.5000
Os1 0.5000 0.5000 0.2368
Os2 0.5000 0.5000 0.7632